# 1
BeTlTc | PBE-GGA | optimized geometry

Properties
Its space group is F-43m, No. 216. As for the formation energy: 0.66 eV/atom. As for the density of states at the Fermi level: 1.87 states/eV per cell. The calculation puts the energy above the most stable polymorph in this dataset at 62 kJ/mol of formula units. The total energy comes out at -14.47 eV/cell. Its crystal system is cubic. For the magnetic moment, the calculation gives 0.0 μB per formula unit.

Cell and atoms, written as POSCAR:
```
BeTlTc
1.0
-2.502 -0.461 -3.189
0.539 -3.112 -2.582
-2.673 -3.081 -0.067
Tc Tl Be
1 1 1
Direct
0.000 0.000 0.000
0.500 0.500 0.500
0.750 0.750 0.750
```

# 2
Li2Ag2Sn | PBE-GGA | optimized geometry

Properties
Its space group is I4/mmm, No. 139. As for the formation energy: -0.07 eV/atom. As for the density of states at the Fermi level: 1.61 states/eV per cell. The calculation puts the energy above the most stable polymorph in this dataset at 104 kJ/mol of formula units. The total energy comes out at -13.86 eV/cell. Its crystal system is tetragonal. For the magnetic moment, the calculation gives 0.0 μB per formula unit.

Cell and atoms, written as POSCAR:
```
Li2Ag2Sn
1.0
-2.622 -0.840 -2.761
2.402 -2.703 -1.459
-2.722 -6.150 1.704
Ag Li Sn
2 2 1
Direct
0.750 0.250 0.500
0.250 0.750 0.500
0.602 0.602 0.796
0.398 0.398 0.204
0.000 0.000 0.000
```

# 3
Ac2UGe3Au12 | PBE-GGA | optimized geometry

Properties
Its space group is R-3m, No. 166. As for the formation energy: -0.07 eV/atom. As for the density of states at the Fermi level: 14.40 states/eV per cell. The total energy comes out at -73.87 eV/cell. Its crystal system is trigonal. For the magnetic moment, the calculation gives 2.9 μB per formula unit.

Cell and atoms, written as POSCAR:
```
Ac2UGe3Au12
1.0
8.346 -0.426 -0.302
3.752 7.468 -0.302
3.752 2.184 7.148
Au Ge Ac U
12 3 2 1
Direct
0.158 0.685 0.685
0.608 0.145 0.145
0.145 0.145 0.608
0.685 0.685 0.158
0.855 0.392 0.855
0.392 0.855 0.855
0.842 0.315 0.315
0.855 0.855 0.392
0.145 0.608 0.145
0.315 0.842 0.315
0.685 0.158 0.685
0.315 0.315 0.842
0.000 0.500 0.000
0.500 0.000 0.000
0.000 0.000 0.500
0.398 0.398 0.398
0.602 0.602 0.602
0.000 0.000 0.000
```

# 4
LiTlNi4 | PBE-GGA | optimized geometry

Properties
Its space group is F-43m, No. 216. As for the formation energy: 0.03 eV/atom. As for the density of states at the Fermi level: 6.39 states/eV per cell. The total energy comes out at -27.23 eV/cell. Its crystal system is cubic. For the magnetic moment, the calculation gives 1.1 μB per formula unit.

Cell and atoms, written as POSCAR:
```
LiTlNi4
1.0
4.850 0.000 0.000
2.425 4.200 0.000
2.425 1.400 3.960
Tl Ni Li
1 4 1
Direct
0.250 0.250 0.250
0.625 0.625 0.625
0.625 0.625 0.124
0.625 0.124 0.625
0.124 0.625 0.625
0.000 0.000 0.000
```

# 5
Pr3Dy12Ho | PBE-GGA | optimized geometry

Properties
Its space group is P4/mmm, No. 123. As for the formation energy: 0.02 eV/atom. As for the density of states at the Fermi level: 22.23 states/eV per cell. The total energy comes out at -73.80 eV/cell. Its crystal system is tetragonal. For the magnetic moment, the calculation gives 0.0 μB per formula unit.

Cell and atoms, written as POSCAR:
```
Pr3Dy12Ho
1.0
-2.220 -2.630 3.699
3.118 -3.876 -0.884
13.189 7.579 13.303
Dy Pr Ho
12 3 1
Direct
0.500 0.500 0.752
0.500 0.000 0.626
0.500 0.000 0.877
0.500 0.000 0.374
0.500 0.500 0.248
0.000 0.500 0.626
0.000 0.500 0.877
0.000 0.500 0.123
0.000 0.500 0.374
0.500 0.500 0.000
0.500 0.500 0.500
0.500 0.000 0.123
0.000 0.000 0.500
0.000 0.000 0.751
0.000 0.000 0.249
0.000 0.000 0.000
```

# 6
NpS4Cl4 | PBE-GGA | optimized geometry

Properties
Its space group is P-1, No. 2. For the raw formation energy, the calculation gives -0.855 eV per atom. As for the density of states at the Fermi level: 11.56 states/eV per cell. The total energy comes out at -44.54 eV/cell. Its crystal system is triclinic. For the magnetic moment, the calculation gives 3.0 μB per formula unit.

Cell and atoms, written as POSCAR:
```
NpS4Cl4
1.0
-3.886 0.956 0.600
4.799 -4.200 8.287
0.440 8.048 2.936
S Cl Np
4 4 1
Direct
0.086 0.863 0.535
0.914 0.137 0.465
0.293 0.972 0.344
0.707 0.028 0.656
0.914 0.514 0.213
0.205 0.238 0.027
0.795 0.762 0.973
0.086 0.486 0.787
0.500 0.500 0.000
```

| no. | ρ (g/cm3) |
| --- | --- |
| 1 | 10.77 |
| 2 | 5.98 |
| 3 | 11.59 |
| 4 | 9.18 |
| 5 | 8.17 |
| 6 | 2.62 |